Na3Pr2HoS6: relaxed, GGA-PBE.

Calculated values
V = 292.6 Å³/f.u.
ΔE_f (raw) = -1.800 eV/atom
Density = 4.0 g cm⁻³

POSCAR file:
```
Na3Pr2HoS6
1.0
7.102 -0.001 0.000
-3.550 6.151 0.000
-1.185 -2.052 6.698
Na Pr Ho S
3 2 1 6
direct
0.166 0.834 0.500
0.834 0.166 0.500
0.500 0.500 0.500
0.333 0.667 0.000
0.667 0.333 0.000
0.000 0.000 0.000
0.923 0.600 0.768
0.755 0.755 0.230
0.077 0.400 0.232
0.600 0.923 0.768
0.245 0.245 0.770
0.400 0.077 0.232
```